(1)
! PBE-GGA Ba2TaCd, relaxed; values from VASP
&SYSTEM
  ibrav = 0, nat = 8, ntyp = 3
/
ATOMIC_SPECIES
Ba 137.33 Ba.upf
Ta 180.95 Ta.upf
Cd 112.41 Cd.upf
CELL_PARAMETERS angstrom
-2.346 2.346 11.733
2.346 -2.346 11.733
2.346 2.346 -11.733
ATOMIC_POSITIONS crystal
Ba 0.117 0.625 0.992
Ba 0.375 0.367 0.492
Ba 0.633 0.125 0.008
Ba 0.875 0.883 0.508
Ta 0.000 0.000 0.000
Ta 0.750 0.250 0.500
Cd 0.250 0.750 0.500
Cd 0.500 0.500 0.000
! Total magnetization in μB/f.u.: 0.00
! Electronic total energy in eV/atom: -3.002
! N(E_F) in states/eV per cell: 11.96

(2)
! PBE-GGA BaTa2Cd, relaxed; values from VASP
&SYSTEM
  ibrav = 0, nat = 4, ntyp = 3
/
ATOMIC_SPECIES
Ba 137.33 Ba.upf
Ta 180.95 Ta.upf
Cd 112.41 Cd.upf
CELL_PARAMETERS angstrom
-2.553 2.553 3.607
2.553 -2.553 3.607
2.553 2.553 -3.607
ATOMIC_POSITIONS crystal
Ba 0.000 0.000 0.000
Ta 0.500 0.500 0.000
Ta 0.750 0.250 0.500
Cd 0.250 0.750 0.500
! Total magnetization in μB/f.u.: 0.00
! Electronic total energy in eV/atom: -5.730
! N(E_F) in states/eV per cell: 0.64

(3)
! PBE-GGA BaTa2Cd, relaxed; values from VASP
&SYSTEM
  ibrav = 0, nat = 4, ntyp = 3
/
ATOMIC_SPECIES
Ba 137.33 Ba.upf
Ta 180.95 Ta.upf
Cd 112.41 Cd.upf
CELL_PARAMETERS angstrom
3.036 0.000 0.000
0.000 5.274 0.000
-0.810 0.000 6.650
ATOMIC_POSITIONS crystal
Ba 0.000 0.000 0.000
Ta 0.290 0.500 0.664
Ta 0.710 0.500 0.336
Cd 0.500 0.000 0.500
! Total magnetization in μB/f.u.: 0.00
! Electronic total energy in eV/atom: -5.818
! N(E_F) in states/eV per cell: 4.61

(4)
! PBE-GGA BaTa2Cd, relaxed; values from VASP
&SYSTEM
  ibrav = 0, nat = 4, ntyp = 3
/
ATOMIC_SPECIES
Ba 137.33 Ba.upf
Ta 180.95 Ta.upf
Cd 112.41 Cd.upf
CELL_PARAMETERS angstrom
-2.194 2.194 4.988
2.194 -2.194 4.988
2.194 2.194 -4.988
ATOMIC_POSITIONS crystal
Ba 0.000 0.000 0.000
Ta 0.250 0.750 0.500
Ta 0.750 0.250 0.500
Cd 0.500 0.500 0.000
! Total magnetization in μB/f.u.: 0.00
! Electronic total energy in eV/atom: -5.510
! N(E_F) in states/eV per cell: 4.77

(5)
! PBE-GGA Ba2TaCd, relaxed; values from VASP
&SYSTEM
  ibrav = 0, nat = 4, ntyp = 3
/
ATOMIC_SPECIES
Ba 137.33 Ba.upf
Ta 180.95 Ta.upf
Cd 112.41 Cd.upf
CELL_PARAMETERS angstrom
6.529 -1.767 0.000
6.529 1.767 0.000
-2.036 0.000 5.845
ATOMIC_POSITIONS crystal
Ba 0.000 0.000 0.000
Ba 0.192 0.192 0.626
Ta 0.433 0.433 0.456
Cd 0.764 0.764 0.181
! Total magnetization in μB/f.u.: 1.32
! Electronic total energy in eV/atom: -3.521
! N(E_F) in states/eV per cell: 4.32

(6)
! PBE-GGA Ba2TaCd, relaxed; values from VASP
&SYSTEM
  ibrav = 0, nat = 4, ntyp = 3
/
ATOMIC_SPECIES
Ba 137.33 Ba.upf
Ta 180.95 Ta.upf
Cd 112.41 Cd.upf
CELL_PARAMETERS angstrom
3.763 0.000 0.000
0.000 3.763 0.000
0.000 0.000 9.921
ATOMIC_POSITIONS crystal
Ba 0.000 0.000 0.000
Ba 0.500 0.500 0.393
Ta 0.500 0.500 0.758
Cd 0.000 0.000 0.636
! Total magnetization in μB/f.u.: 0.00
! Electronic total energy in eV/atom: -3.567
! N(E_F) in states/eV per cell: 5.21

(7)
! PBE-GGA BaTa2Cd, relaxed; values from VASP
&SYSTEM
  ibrav = 0, nat = 4, ntyp = 3
/
ATOMIC_SPECIES
Ba 137.33 Ba.upf
Ta 180.95 Ta.upf
Cd 112.41 Cd.upf
CELL_PARAMETERS angstrom
1.531 0.884 11.512
-1.531 0.884 11.512
0.000 -1.768 11.512
ATOMIC_POSITIONS crystal
Ba 0.000 0.000 0.000
Ta 0.240 0.240 0.240
Ta 0.760 0.760 0.760
Cd 0.500 0.500 0.500
! Total magnetization in μB/f.u.: 0.01
! Electronic total energy in eV/atom: -5.689
! N(E_F) in states/eV per cell: 6.20

(8)
! PBE-GGA BaTa2Cd, relaxed; values from VASP
&SYSTEM
  ibrav = 0, nat = 4, ntyp = 3
/
ATOMIC_SPECIES
Ba 137.33 Ba.upf
Ta 180.95 Ta.upf
Cd 112.41 Cd.upf
CELL_PARAMETERS angstrom
3.086 -5.313 0.000
3.086 5.313 0.000
0.000 0.000 2.923
ATOMIC_POSITIONS crystal
Ba 0.000 0.000 0.000
Ta 0.000 0.500 0.500
Ta 0.500 0.000 0.500
Cd 0.500 0.500 0.000
! Total magnetization in μB/f.u.: 0.00
! Electronic total energy in eV/atom: -5.527
! N(E_F) in states/eV per cell: 4.37

(9)
! PBE-GGA BaTaCd4, relaxed; values from VASP
&SYSTEM
  ibrav = 0, nat = 6, ntyp = 3
/
ATOMIC_SPECIES
Ba 137.33 Ba.upf
Ta 180.95 Ta.upf
Cd 112.41 Cd.upf
CELL_PARAMETERS angstrom
0.000 4.219 4.219
4.219 0.000 4.219
4.219 4.219 0.000
ATOMIC_POSITIONS crystal
Ba 0.000 0.000 0.000
Ta 0.250 0.250 0.250
Cd 0.129 0.624 0.624
Cd 0.624 0.129 0.624
Cd 0.624 0.624 0.129
Cd 0.624 0.624 0.624
! Total magnetization in μB/f.u.: 2.89
! Electronic total energy in eV/atom: -2.538
! N(E_F) in states/eV per cell: 6.65

(10)
! PBE-GGA Ba2TaCd, relaxed; values from VASP
&SYSTEM
  ibrav = 0, nat = 4, ntyp = 3
/
ATOMIC_SPECIES
Ba 137.33 Ba.upf
Ta 180.95 Ta.upf
Cd 112.41 Cd.upf
CELL_PARAMETERS angstrom
-2.842 2.842 4.011
2.842 -2.842 4.011
2.842 2.842 -4.011
ATOMIC_POSITIONS crystal
Ba 0.000 0.000 0.000
Ba 0.750 0.250 0.500
Ta 0.500 0.500 0.000
Cd 0.250 0.750 0.500
! Total magnetization in μB/f.u.: 3.33
! Electronic total energy in eV/atom: -3.322
! N(E_F) in states/eV per cell: 3.63

(11)
! PBE-GGA BaTa2Cd, relaxed; values from VASP
&SYSTEM
  ibrav = 0, nat = 4, ntyp = 3
/
ATOMIC_SPECIES
Ba 137.33 Ba.upf
Ta 180.95 Ta.upf
Cd 112.41 Cd.upf
CELL_PARAMETERS angstrom
-1.572 2.943 5.624
1.572 -2.943 5.624
1.572 2.943 -5.624
ATOMIC_POSITIONS crystal
Ba 0.000 0.000 0.000
Ta 0.528 0.528 0.000
Ta 0.715 0.215 0.500
Cd 0.289 0.789 0.500
! Total magnetization in μB/f.u.: 0.00
! Electronic total energy in eV/atom: -5.765
! N(E_F) in states/eV per cell: 4.50

(12)
! PBE-GGA BaTa2Cd, relaxed; values from VASP
&SYSTEM
  ibrav = 0, nat = 4, ntyp = 3
/
ATOMIC_SPECIES
Ba 137.33 Ba.upf
Ta 180.95 Ta.upf
Cd 112.41 Cd.upf
CELL_PARAMETERS angstrom
4.421 0.000 0.000
0.000 4.421 0.000
0.000 0.000 4.923
ATOMIC_POSITIONS crystal
Ba 0.000 0.000 0.000
Ta 0.000 0.500 0.500
Ta 0.500 0.000 0.500
Cd 0.500 0.500 0.000
! Total magnetization in μB/f.u.: 0.36
! Electronic total energy in eV/atom: -5.502
! N(E_F) in states/eV per cell: 5.00